[1]
Entry from Alexandria: a relaxed structure of NaBi2O4 (GGA-PBE).

## Properties
- DOS at the Fermi energy (states/eV/cell) = 7.9
- energy relative to the elements, uncorrected (kJ per mole of atoms) = -116.2
- crystal system = orthorhombic
- energy relative to the lowest polymorph listed for this composition (meV/atom) = 0.0

a b c (Å): 3.5431 10.8047 12.0573
angles (deg): 90.00 90.00 90.00
Element x y z (fractional)
Na  0.2500  0.7426  0.0912
Na  0.7500  0.7574  0.5912
Na  0.2500  0.2426  0.4088
Na  0.7500  0.2574  0.9088
Bi  0.2500  0.5755  0.3876
Bi  0.2500  0.5537  0.8794
Bi  0.7500  0.9463  0.3794
Bi  0.7500  0.9245  0.8876
Bi  0.2500  0.0755  0.1124
Bi  0.2500  0.0537  0.6206
Bi  0.7500  0.4463  0.1206
Bi  0.7500  0.4245  0.6124
O  0.7500  0.4390  0.7940
O  0.2500  0.5671  0.5897
O  0.7500  0.6029  0.0051
O  0.7500  0.6992  0.3954
O  0.2500  0.8008  0.8954
O  0.2500  0.8971  0.5051
O  0.7500  0.9329  0.0897
O  0.2500  0.0610  0.2940
O  0.7500  0.9390  0.7060
O  0.2500  0.0671  0.9103
O  0.7500  0.1029  0.4949
O  0.7500  0.1992  0.1046
O  0.2500  0.3008  0.6046
O  0.2500  0.3971  0.9949
O  0.7500  0.4329  0.4103
O  0.2500  0.5610  0.2060

***

[2]
Entry from Alexandria: a relaxed structure of LaYMo (GGA-PBE).

## Properties
- DOS at the Fermi energy (states/eV/cell) = 2.5
- crystal system = cubic
- formation enthalpy at 0 K (meV per atom) = 583
- energy relative to the lowest polymorph listed for this composition (meV/atom) = 224.2

a b c (Å): 4.9216 4.9216 4.9216
angles (deg): 60.00 60.00 60.00
Element x y z (fractional)
La  0.5000  0.5000  0.5000
Mo  0.7500  0.7500  0.7500
Y  0.0000  0.0000  0.0000

***

[3]
Entry from Alexandria: a relaxed structure of Ac3Al3Hg2 (GGA-PBE).

## Properties
- DOS at the Fermi energy (states/eV/cell) = 8.2
- crystal system = orthorhombic
- formation enthalpy at 0 K (meV per atom) = -386

a b c (Å): 4.9112 6.2649 16.1584
angles (deg): 90.00 90.00 113.08
Element x y z (fractional)
Ac  0.9008  0.8017  0.3900
Ac  0.0992  0.1983  0.8900
Ac  0.9008  0.8017  0.1100
Ac  0.0992  0.1983  0.6100
Ac  0.6228  0.2456  0.2500
Ac  0.3772  0.7544  0.7500
Al  0.6079  0.2159  0.4643
Al  0.3921  0.7841  0.9643
Al  0.6079  0.2159  0.0357
Al  0.3921  0.7841  0.5357
Al  0.3291  0.6582  0.2500
Al  0.6709  0.3418  0.7500
Hg  0.8025  0.6050  0.9020
Hg  0.1975  0.3950  0.4020
Hg  0.8025  0.6050  0.5980
Hg  0.1975  0.3950  0.0980

***

[4]
Entry from Alexandria: a relaxed structure of La2SbO (GGA-PBE).

## Properties
- DOS at the Fermi energy (states/eV/cell) = 2.2
- energy relative to the elements, uncorrected (kJ per mole of atoms) = -118.3
- crystal system = cubic
- energy relative to the lowest polymorph listed for this composition (meV/atom) = 877.7

a b c (Å): 5.2058 5.2058 5.2058
angles (deg): 60.00 60.00 60.00
Element x y z (fractional)
Sb  0.5000  0.5000  0.5000
O  0.0000  0.0000  0.0000
La  0.2500  0.2500  0.2500
La  0.7500  0.7500  0.7500

***

> The highest DOS at the Fermi energy belongs to which entry?

Ac3Al3Hg2

***

> Which value of DOS at the Fermi energy does entry 3 give?

8.2 states/eV/cell

***

> Which value of DOS at the Fermi energy does entry 3 give?

8.2 states/eV/cell